1.
This record from the Alexandria database describes an optimized crystal structure of Ca3Zn2Pt6. The functional is PBE.

Values from the calculation:
DFT formation energy ... -0.7846 eV/atom
V ... 875.25 Å³/cell
Density ... 10.8 g cm⁻³
Total energy ... -213.71 eV for the cell shown

a b c (Å): 9.5656 9.5656 9.5656
angles (deg): 90.00 90.00 90.00
Closest atoms and distances in Å follow each position.
Space group Im-3m (No. 229)
Asymmetric unit:
Ca 0.0000 0.0000 0.3022 [12 per cell]  8 Pt 3.01-3.14
Zn 0.2500 0.2500 0.2500 [8 per cell]  6 Pt 2.61
Pt 0.0000 0.3272 0.3272 [24 per cell]  2 Zn 2.61, 4 Pt 2.77

2.
This record from the Alexandria database describes an optimized crystal structure of Tl2Pd5Pt2. The functional is PBE.

Values from the calculation:
DFT formation energy ... 0.0220 eV/atom
V ... 669.59 Å³/cell
Density ... 13.2 g cm⁻³
Total energy ... -170.32 eV for the cell shown

a b c (Å): 16.7651 6.7891 5.8829
angles (deg): 90.00 90.00 90.00
Closest atoms and distances in Å follow each position.
Space group Ima2 (No. 46)
Asymmetric unit:
Tl 0.0000 0.0000 0.0000 [4 per cell]  2 Pd 2.90, 2 Pt 3.05
Tl 0.2500 0.0489 0.9699 [4 per cell]  10 Pd 2.75-2.98
Pd 0.1254 0.2184 0.2286 [8 per cell]  2 Pt 2.68, 3 Tl 2.83-2.98, 4 Pd 2.91-2.98
Pd 0.1684 0.7258 0.7429 [8 per cell]  2 Pt 2.57-2.63, 2 Pd 2.73-2.74, 1 Tl 2.82
Pd 0.2500 0.0380 0.5033 [4 per cell]  8 Pd 2.73-2.98, 2 Tl 2.75-2.81, 2 Pt 3.05
Pt 0.0717 0.5474 0.0275 [8 per cell]  1 Pt 2.49, 4 Pd 2.57-2.68

3.
This record from the Alexandria database describes an optimized crystal structure of Zr3CdH. The functional is PBE.

Values from the calculation:
V ... 193.81 Å³/cell
Density ... 6.6 g cm⁻³
Total energy ... -60.36 eV for the cell shown

a b c (Å): 3.3291 3.3291 20.1925
angles (deg): 90.00 90.00 120.00
Closest atoms and distances in Å follow each position.
Space group P6_3/mmc (No. 194)
Asymmetric unit:
Zr 0.0000 0.0000 0.2500 [2 per cell]  3 H 1.92
Zr 0.3333 0.6667 0.1253 [4 per cell]  1 H 2.52
Cd 0.0000 0.0000 0.0000 [2 per cell]  6 Zr 3.18, 6 Cd 3.33
H 0.3333 0.6667 0.2500 [2 per cell]  3 Zr 1.92

4.
This record from the Alexandria database describes an optimized crystal structure of CaY2TlC. The functional is PBE.

Values from the calculation:
DFT formation energy ... -0.3008 eV/atom
V ... 123.27 Å³/cell
Density ... 5.9 g cm⁻³
Total energy ... -28.02 eV for the cell shown

a b c (Å): 4.9309 4.9309 5.0698
angles (deg): 90.00 90.00 90.00
Closest atoms and distances in Å follow each position.
Space group P4/mmm (No. 123)
Asymmetric unit:
Ca 0.0000 0.0000 0.0000 [1 per cell]  2 C 2.53
Y 0.0000 0.5000 0.5000 [2 per cell]  2 C 2.47
Tl 0.5000 0.5000 0.0000 [1 per cell]  4 Ca 3.49, 8 Y 3.54
C 0.0000 0.0000 0.5000 [1 per cell]  4 Y 2.47, 2 Ca 2.53

5.
This record from the Alexandria database describes an optimized crystal structure of NpPd6Au. The functional is PBE.

Values from the calculation:
DFT formation energy ... 0.1780 eV/atom
V ... 512.27 Å³/cell
Density ... 10.4 g cm⁻³
Total energy ... -137.85 eV for the cell shown

a b c (Å): 5.3706 5.3706 20.5077
angles (deg): 90.00 90.00 120.00
Closest atoms and distances in Å follow each position.
Space group R-3m (No. 166, hexagonal axes)
Asymmetric unit:
Np 0.0000 0.0000 0.0000 [3 per cell]  6 Pd 2.60
Pd 0.0051 0.5025 0.4341 [18 per cell]  1 Np 2.60, 5 Pd 2.64-2.73
Au 0.0000 0.0000 0.5000 [3 per cell]  12 Pd 3.01

6.
This record from the Alexandria database describes an optimized crystal structure of Li2PrSm2Mg5. The functional is PBE.

Values from the calculation:
DFT formation energy ... -0.0364 eV/atom
V ... 516.58 Å³/cell
Density ... 3.7 g cm⁻³
Total energy ... -52.76 eV for the cell shown

a b c (Å): 10.7672 10.7672 4.4559
angles (deg): 90.00 90.00 90.00
Closest atoms and distances in Å follow each position.
Space group P4/mbm (No. 127)
Asymmetric unit:
Li 0.1134 0.3866 0.0000 [4 per cell]  6 Mg 2.82-2.93, 1 Sm 3.14
Pr 0.0000 0.0000 0.0000 [2 per cell]  8 Mg 3.30
Sm 0.1802 0.6802 0.0000 [4 per cell]  3 Li 3.14-3.24
Mg 0.0000 0.5000 0.5000 [2 per cell]  4 Li 2.82, 4 Mg 3.12
Mg 0.0631 0.2174 0.5000 [8 per cell]  2 Li 2.93, 1 Mg 3.12

7.
This record from the Alexandria database describes an optimized crystal structure of YZrTiAu2. The functional is PBE.

Values from the calculation:
DFT formation energy ... 0.1626 eV/atom
V ... 119.98 Å³/cell
Density ... 8.6 g cm⁻³
Total energy ... -28.65 eV for the cell shown

a b c (Å): 5.0486 5.0486 4.7071
angles (deg): 90.00 90.00 90.00
Closest atoms and distances in Å follow each position.
Space group P4/mmm (No. 123)
Asymmetric unit:
Y 0.0000 0.0000 0.0000 [1 per cell]  8 Au 3.45, 4 Zr 3.57
Zr 0.5000 0.5000 0.0000 [1 per cell]  2 Ti 2.35
Ti 0.5000 0.5000 0.5000 [1 per cell]  2 Zr 2.35, 4 Au 2.52
Au 0.0000 0.5000 0.5000 [2 per cell]  2 Ti 2.52

8.
This record from the Alexandria database describes an optimized crystal structure of Sr3Tc. The functional is PBE.

Values from the calculation:
DFT formation energy ... 0.7537 eV/atom
V ... 458.28 Å³/cell
Density ... 3.9 g cm⁻³
Total energy ... -37.19 eV for the cell shown

a b c (Å): 3.8844 3.8844 35.0708
angles (deg): 90.00 90.00 120.00
Closest atoms and distances in Å follow each position.
Space group R-3m (No. 166, hexagonal axes)
Asymmetric unit:
Sr 0.0000 0.0000 0.0000 [3 per cell]  6 Sr 3.88
Sr 0.0000 0.0000 0.2269 [6 per cell]  3 Tc 3.08
Tc 0.0000 0.0000 0.5000 [3 per cell]  6 Sr 3.08

9.
This record from the Alexandria database describes an optimized crystal structure of BaHf2BiO8. The functional is PBE.

Values from the calculation:
V ... 182.76 Å³/cell
Density ... 7.6 g cm⁻³
Total energy ... -92.76 eV for the cell shown

a b c (Å): 5.0575 7.1425 5.0617
angles (deg): 90.00 91.70 90.00
Closest atoms and distances in Å follow each position.
Space group P2/m (No. 10)
Asymmetric unit:
Ba 0.0000 0.0000 0.0000 [1 per cell]  6 O 2.56-2.59
Hf 0.5000 0.2726 0.5000 [2 per cell]  6 O 2.04-2.21
Bi 0.0000 0.5000 0.0000 [1 per cell]  6 O 2.11-2.26
O 0.2123 0.2916 0.2105 [4 per cell]  1 Hf 2.04, 1 Bi 2.11
O 0.3101 0.5000 0.6884 [2 per cell]  2 Hf 2.13, 1 Bi 2.26
O 0.3551 0.0000 0.6423 [2 per cell]  1 O 2.09, 2 Hf 2.21

10.
This record from the Alexandria database describes an optimized crystal structure of Tm6Tl5Sb. The functional is PBE.

Values from the calculation:
V ... 637.22 Å³/cell
Density ... 11.2 g cm⁻³
Total energy ... -94.19 eV for the cell shown

a b c (Å): 5.1403 15.5127 7.9914
angles (deg): 90.00 90.30 90.00
Closest atoms and distances in Å follow each position.
Space group C2/m (No. 12)
Asymmetric unit:
Tm 0.9997 0.0000 0.2417 [4 per cell]  2 Sb 3.21-3.22, 6 Tl 3.29-3.34
Tm 0.0006 0.3373 0.7482 [8 per cell]  7 Tl 3.21-3.31, 1 Sb 3.23
Tl 0.0000 0.1665 0.5000 [4 per cell]  8 Tm 3.24-3.31
Tl 0.0000 0.1753 0.0000 [4 per cell]  8 Tm 3.22-3.34, 2 Tl 3.46
Tl 0.0000 0.5000 0.5000 [2 per cell]  8 Tm 3.21-3.30
Sb 0.0000 0.5000 0.0000 [2 per cell]  8 Tm 3.21-3.23

11.
This record from the Alexandria database describes an optimized crystal structure of PmSc3Al2. The functional is PBE.

Values from the calculation:
DFT formation energy ... -0.2049 eV/atom
V ... 573.29 Å³/cell
Density ... 3.9 g cm⁻³
Total energy ... -129.84 eV for the cell shown

a b c (Å): 16.7325 4.7468 7.7296
angles (deg): 90.00 110.96 90.00
Closest atoms and distances in Å follow each position.
Space group C2/m (No. 12)
Asymmetric unit:
Pm 0.1182 0.0000 0.1847 [4 per cell]  7 Al 3.23-3.50, 6 Sc 3.40-3.57
Sc 0.0753 0.0000 0.7207 [4 per cell]  3 Al 2.86-2.96, 2 Sc 3.15
Sc 0.1243 0.5000 0.5104 [4 per cell]  4 Al 2.90-2.97, 3 Sc 3.15-3.25
Sc 0.1952 0.5000 0.9602 [4 per cell]  2 Al 2.79-2.91, 2 Sc 2.93
Al 0.0167 0.5000 0.8432 [4 per cell]  1 Al 2.68, 4 Sc 2.79-2.90
Al 0.2345 0.0000 0.6368 [4 per cell]  5 Sc 2.91-2.97

12.
This record from the Alexandria database describes an optimized crystal structure of Nd6Sn3Rh. The functional is PBE.

Values from the calculation:
DFT formation energy ... -0.5571 eV/atom
V ... 621.23 Å³/cell
Density ... 7.1 g cm⁻³
Total energy ... -107.08 eV for the cell shown

a b c (Å): 6.2410 8.9766 12.5199
angles (deg): 90.00 117.66 90.00
Closest atoms and distances in Å follow each position.
Space group P2_1/c (No. 14)
Asymmetric unit:
Nd 0.0524 0.1598 0.4403 [4 per cell]  1 Rh 2.91, 1 Sn 3.20
Nd 0.3459 0.6890 0.4398 [4 per cell]  1 Rh 2.94, 1 Sn 3.10
Nd 0.3903 0.0424 0.2655 [4 per cell]  1 Rh 2.71
Sn 0.0000 0.0000 0.0000 [2 per cell]  6 Nd 3.10-3.20
Sn 0.1626 0.1179 0.7598 [4 per cell]  8 Nd 3.28-3.64
Rh 0.5000 0.0000 0.5000 [2 per cell]  6 Nd 2.71-2.94

13.
This record from the Alexandria database describes an optimized crystal structure of ZrSiMo2. The functional is PBE.

Values from the calculation:
V ... 133.33 Å³/cell
Density ... 7.8 g cm⁻³
Total energy ... -71.82 eV for the cell shown

a b c (Å): 3.3868 4.7099 8.3585
angles (deg): 90.00 90.00 90.00
Closest atoms and distances in Å follow each position.
Space group Cmmm (No. 65)
Asymmetric unit:
Zr 0.0000 0.0000 0.0000 [2 per cell]  4 Mo 2.89, 4 Zr 2.90
Si 0.0000 0.0000 0.5000 [2 per cell]  4 Mo 2.49
Mo 0.0000 0.5000 0.2808 [4 per cell]  2 Si 2.49

14.
This record from the Alexandria database describes an optimized crystal structure of GaPbW2. The functional is PBE.

Values from the calculation:
DFT formation energy ... 0.9757 eV/atom
V ... 282.44 Å³/cell
Density ... 15.2 g cm⁻³
Total energy ... -114.95 eV for the cell shown

a b c (Å): 6.5611 6.5611 6.5611
angles (deg): 90.00 90.00 90.00
Closest atoms and distances in Å follow each position.
Space group Fm-3m (No. 225)
Asymmetric unit:
Ga 0.0000 0.0000 0.0000 [4 per cell]  8 W 2.84
Pb 0.0000 0.0000 0.5000 [4 per cell]  8 W 2.84
W 0.2500 0.2500 0.2500 [8 per cell]  4 Pb 2.84, 4 Ga 2.84

15.
This record from the Alexandria database describes an optimized crystal structure of Cu2Pd2Pb. The functional is PBE.

Values from the calculation:
DFT formation energy ... -0.0140 eV/atom
V ... 166.59 Å³/cell
Density ... 10.9 g cm⁻³
Total energy ... -44.71 eV for the cell shown

a b c (Å): 7.3721 7.3721 3.0653
angles (deg): 90.00 90.00 90.00
Closest atoms and distances in Å follow each position.
Space group P4/mbm (No. 127)
Asymmetric unit:
Cu 0.1553 0.3447 0.0000 [4 per cell]  6 Pd 2.65
Pd 0.1369 0.6369 0.5000 [4 per cell]  6 Cu 2.65, 1 Pd 2.85, 2 Pb 2.86
Pb 0.0000 0.0000 0.5000 [2 per cell]  4 Pd 2.86, 2 Pb 3.07, 8 Cu 3.18

16.
This record from the Alexandria database describes an optimized crystal structure of ScTlCd2Br8. The functional is PBE.

Values from the calculation:
V ... 410.03 Å³/cell
Density ... 4.5 g cm⁻³
Total energy ... -36.86 eV for the cell shown

a b c (Å): 6.7627 6.7704 9.2989
angles (deg): 81.12 80.97 79.56
Closest atoms and distances in Å follow each position.
Space group P-1 (No. 2)
Asymmetric unit:
Sc 0.0000 0.0000 0.0000 [1 per cell]  6 Br 2.66-2.69
Tl 0.0000 0.0000 0.5000 [1 per cell]  6 Br 3.32-3.36
Cd 0.4317 0.4338 0.7302 [2 per cell]  4 Br 2.64-2.78
Br 0.1829 0.7542 0.2123 [2 per cell]  1 Sc 2.68, 1 Cd 2.78
Br 0.2498 0.8208 0.7866 [2 per cell]  1 Sc 2.69, 1 Cd 2.78
Br 0.2551 0.2601 0.9887 [2 per cell]  1 Sc 2.66, 1 Cd 2.71
Br 0.3208 0.3263 0.4977 [2 per cell]  1 Cd 2.64

17.
This record from the Alexandria database describes an optimized crystal structure of ErMgGe2. The functional is PBE.

Values from the calculation:
DFT formation energy ... -0.4462 eV/atom
V ... 336.65 Å³/cell
Density ... 6.6 g cm⁻³
Total energy ... -68.71 eV for the cell shown

a b c (Å): 7.9938 3.8271 11.0041
angles (deg): 90.00 90.00 90.00
Closest atoms and distances in Å follow each position.
Space group Pnma (No. 62)
Asymmetric unit:
Er 0.1195 0.2500 0.1492 [4 per cell]  7 Ge 3.02-3.09
Mg 0.0138 0.7500 0.3962 [4 per cell]  5 Ge 2.61-2.83
Ge 0.1662 0.2500 0.8021 [4 per cell]  2 Mg 2.61-2.76, 2 Ge 2.62
Ge 0.2391 0.7500 0.9553 [4 per cell]  2 Ge 2.62, 3 Mg 2.74-2.83

18.
This record from the Alexandria database describes an optimized crystal structure of Co2AsPb. The functional is PBE.

Values from the calculation:
DFT formation energy ... 0.4345 eV/atom
V ... 126.37 Å³/cell
Density ... 10.5 g cm⁻³
Total energy ... -41.66 eV for the cell shown

a b c (Å): 6.2745 6.2664 3.2139
angles (deg): 90.00 90.14 90.00
Closest atoms and distances in Å follow each position.
Space group C2/m (No. 12)
Asymmetric unit:
Co 0.2500 0.2500 0.0000 [4 per cell]  4 As 2.74, 4 Pb 2.74
As 0.0000 0.0000 0.5000 [2 per cell]  8 Co 2.74
Pb 0.0000 0.5000 0.5000 [2 per cell]  8 Co 2.74

19.
This record from the Alexandria database describes an optimized crystal structure of Na3Cd4Sn4. The functional is PBE.

Values from the calculation:
DFT formation energy ... -0.0471 eV/atom
V ... 623.29 Å³/cell
Density ... 5.3 g cm⁻³
Total energy ... -48.29 eV for the cell shown

a b c (Å): 4.6878 8.1774 16.2594
angles (deg): 90.00 90.00 90.00
Closest atoms and distances in Å follow each position.
Space group Immm (No. 71)
Asymmetric unit:
Na 0.0000 0.0000 0.0000 [2 per cell]  6 Cd 3.54-3.55, 8 Sn 3.95
Na 0.0000 0.5000 0.1253 [4 per cell]  6 Cd 3.42-3.46, 6 Sn 3.45-3.76
Cd 0.0000 0.0000 0.2183 [4 per cell]  6 Sn 2.98-3.07
Cd 0.0000 0.1752 0.5000 [4 per cell]  1 Cd 2.87, 2 Sn 2.90
Sn 0.0000 0.2988 0.3329 [8 per cell]  4 Cd 2.90-3.07

20.
This record from the Alexandria database describes an optimized crystal structure of TlSiHg2O4. The functional is PBE.

Values from the calculation:
V ... 266.61 Å³/cell
Density ... 8.7 g cm⁻³
Total energy ... -75.03 eV for the cell shown

a b c (Å): 5.8880 5.8880 7.6902
angles (deg): 90.00 90.00 90.00
Closest atoms and distances in Å follow each position.
Space group I-42m (No. 121)
Asymmetric unit:
Tl 0.0000 0.0000 0.0000 [2 per cell]  8 O 2.94-3.21
Si 0.0000 0.0000 0.5000 [2 per cell]  4 O 1.67
Hg 0.0000 0.5000 0.2500 [4 per cell]  4 O 2.41
O 0.1654 0.1654 0.3778 [8 per cell]  1 Si 1.67

21.
This record from the Alexandria database describes an optimized crystal structure of Ti3GaIr4. The functional is PBE.

Values from the calculation:
DFT formation energy ... -0.7701 eV/atom
V ... 239.14 Å³/cell
Density ... 13.6 g cm⁻³
Total energy ... -136.63 eV for the cell shown

a b c (Å): 8.9770 5.8212 4.5763
angles (deg): 90.00 90.00 90.00
Closest atoms and distances in Å follow each position.
Space group Pmma (No. 51)
Asymmetric unit:
Ti 0.0000 0.0000 0.0000 [2 per cell]  8 Ir 2.70-2.71, 2 Ga 2.91, 2 Ti 3.00
Ti 0.2500 0.0000 0.4345 [2 per cell]  8 Ir 2.64-2.79, 2 Ti 2.91
Ti 0.2500 0.5000 0.4105 [2 per cell]  8 Ir 2.69-2.72, 2 Ti 2.91, 2 Ga 2.93
Ga 0.0000 0.5000 0.0000 [2 per cell]  8 Ir 2.70-2.72, 4 Ti 2.91-2.93
Ir 0.0000 0.2466 0.5000 [4 per cell]  6 Ti 2.68-2.72, 2 Ga 2.72, 4 Ir 2.87-2.95
Ir 0.2500 0.2520 0.9149 [4 per cell]  6 Ti 2.64-2.79, 2 Ga 2.70, 4 Ir 2.89-2.94